Record 1
VASP calculation (PBE-GGA) on a relaxed Cu15Te8 crystal.

Values from the calculation:
Energy above the most stable polymorph in this dataset ... 0.014 eV per atom
E ... -0.1305 Ha/atom

The structure in CIF format:
```
data_Cu15Te8
_cell_length_a 8.4114
_cell_length_b 8.4114
_cell_length_c 22.4337
_cell_angle_alpha 90.00
_cell_angle_beta 90.00
_cell_angle_gamma 120.00
_space_group_name_H-M_alt 'P 3 m 1'
_space_group_IT_number 156
loop_
_space_group_symop_operation_xyz
'x,y,z'
'-y,x-y,z'
'-x+y,-x,z'
'-y,-x,z'
'-x+y,y,z'
'x,x-y,z'
loop_
_atom_site_label
_atom_site_type_symbol
_atom_site_fract_x
_atom_site_fract_y
_atom_site_fract_z
Cu1 Cu 0.0000 0.0000 0.0000
Cu2 Cu 0.0028 0.5014 0.0670
Cu3 Cu 0.1603 0.3206 0.0332
Cu4 Cu 0.1725 0.3450 0.1475
Cu5 Cu 0.3131 0.1566 0.1099
Cu6 Cu 0.3333 0.6667 0.1749
Cu7 Cu 0.6667 0.3333 0.1071
Te1 Te 0.0000 0.0000 0.1748
Te2 Te 0.3333 0.6667 0.0074
Te3 Te 0.3613 0.1806 0.9948
Te4 Te 0.5135 0.0270 0.1846
```

Record 2
VASP calculation (PBE-GGA) on a relaxed Cu11Te4 crystal.

Values from the calculation:
E ... -0.1268 Ha/atom

The structure in CIF format:
```
data_Cu11Te4
_cell_length_a 8.3133
_cell_length_b 2.8556
_cell_length_c 28.9730
_cell_angle_alpha 90.00
_cell_angle_beta 91.59
_cell_angle_gamma 90.00
_space_group_name_H-M_alt 'C 1 2/m 1'
_space_group_IT_number 12
loop_
_space_group_symop_operation_xyz
'x,y,z'
'-x,-y,-z'
'-x,y,-z'
'x,-y,z'
'x+1/2,y+1/2,z'
'-x+1/2,-y+1/2,-z'
'-x+1/2,y+1/2,-z'
'x+1/2,-y+1/2,z'
loop_
_atom_site_label
_atom_site_type_symbol
_atom_site_fract_x
_atom_site_fract_y
_atom_site_fract_z
Cu1 Cu 0.0000 0.0000 0.0000
Cu2 Cu 0.0597 0.5000 0.9305
Cu3 Cu 0.1026 0.5000 0.1760
Cu4 Cu 0.1179 0.0000 0.8614
Cu5 Cu 0.1593 0.0000 0.1042
Cu6 Cu 0.2205 0.5000 0.0349
Te1 Te 0.1428 0.0000 0.3262
Te2 Te 0.1704 0.5000 0.7731
```

Record 3
VASP calculation (PBE-GGA) on a relaxed Cu7Te4 crystal.

Values from the calculation:
Energy above the most stable polymorph in this dataset ... 0.057 eV per atom
E ... -0.1292 Ha/atom

The structure in CIF format:
```
data_Cu7Te4
_cell_length_a 7.2470
_cell_length_b 8.1736
_cell_length_c 27.2414
_cell_angle_alpha 90.00
_cell_angle_beta 92.52
_cell_angle_gamma 90.00
_space_group_name_H-M_alt 'P 1 21/m 1'
_space_group_IT_number 11
loop_
_space_group_symop_operation_xyz
'x,y,z'
'-x,-y,-z'
'-x,y+1/2,-z'
'x,-y+1/2,z'
loop_
_atom_site_label
_atom_site_type_symbol
_atom_site_fract_x
_atom_site_fract_y
_atom_site_fract_z
Cu1 Cu 0.0606 0.0139 0.4233
Cu2 Cu 0.0970 0.2500 0.5925
Cu3 Cu 0.1179 0.7500 0.5410
Cu4 Cu 0.1909 0.0317 0.5090
Cu5 Cu 0.3979 0.2500 0.5473
Te1 Te 0.2443 0.7500 0.4503
Te2 Te 0.2873 0.2500 0.4450
Te3 Te 0.2872 0.5148 0.6004
```

Record 4
VASP calculation (PBE-GGA) on a relaxed Cu9Te2 crystal.

Values from the calculation:
Energy above the most stable polymorph in this dataset ... 0.030 eV per atom
E ... -0.1290 Ha/atom

The structure in CIF format:
```
data_Cu9Te2
_cell_length_a 2.7935
_cell_length_b 3.4346
_cell_length_c 43.0098
_cell_angle_alpha 90.00
_cell_angle_beta 90.00
_cell_angle_gamma 90.00
_space_group_name_H-M_alt 'P m m n'
_space_group_IT_number 59
loop_
_space_group_symop_operation_xyz
'x,y,z'
'-x,-y,-z'
'-x+1/2,-y+1/2,z'
'x+1/2,y+1/2,-z'
'x+1/2,-y,-z'
'-x+1/2,y,z'
'-x,y+1/2,-z'
'x,-y+1/2,z'
loop_
_atom_site_label
_atom_site_type_symbol
_atom_site_fract_x
_atom_site_fract_y
_atom_site_fract_z
Cu1 Cu 0.2500 0.2500 0.0146
Cu2 Cu 0.2500 0.2500 0.0733
Cu3 Cu 0.2500 0.2500 0.1320
Cu4 Cu 0.2500 0.2500 0.1910
Cu5 Cu 0.2500 0.2500 0.2500
Cu6 Cu 0.2500 0.2500 0.7792
Cu7 Cu 0.2500 0.2500 0.8384
Cu8 Cu 0.2500 0.2500 0.8973
Cu9 Cu 0.2500 0.2500 0.9560
Te1 Te 0.2500 0.2500 0.3664
Te2 Te 0.2500 0.2500 0.7100
```

Record 5
VASP calculation (PBE-GGA) on a relaxed Cu7Te crystal.

Values from the calculation:
Energy above the most stable polymorph in this dataset ... 0.000 eV per atom
E ... -0.1305 Ha/atom

The structure in CIF format:
```
data_Cu7Te
_cell_length_a 2.7246
_cell_length_b 3.4883
_cell_length_c 34.0535
_cell_angle_alpha 90.00
_cell_angle_beta 90.00
_cell_angle_gamma 90.00
_space_group_name_H-M_alt 'P m m n'
_space_group_IT_number 59
loop_
_space_group_symop_operation_xyz
'x,y,z'
'-x,-y,-z'
'-x+1/2,-y+1/2,z'
'x+1/2,y+1/2,-z'
'x+1/2,-y,-z'
'-x+1/2,y,z'
'-x,y+1/2,-z'
'x,-y+1/2,z'
loop_
_atom_site_label
_atom_site_type_symbol
_atom_site_fract_x
_atom_site_fract_y
_atom_site_fract_z
Cu1 Cu 0.2500 0.2500 0.0186
Cu2 Cu 0.2500 0.2500 0.0924
Cu3 Cu 0.2500 0.2500 0.1667
Cu4 Cu 0.2500 0.2500 0.2410
Cu5 Cu 0.2500 0.2500 0.7966
Cu6 Cu 0.2500 0.2500 0.8710
Cu7 Cu 0.2500 0.2500 0.9448
Te1 Te 0.2500 0.2500 0.7060
```

Record 6
VASP calculation (PBE-GGA) on a relaxed Cu16Te crystal.

Values from the calculation:
Energy above the most stable polymorph in this dataset ... 0.095 eV per atom
E ... -0.1306 Ha/atom

The structure in CIF format:
```
data_Cu16Te
_cell_length_a 10.3516
_cell_length_b 2.6423
_cell_length_c 27.7402
_cell_angle_alpha 90.00
_cell_angle_beta 90.72
_cell_angle_gamma 90.00
_space_group_name_H-M_alt 'P 1 21/m 1'
_space_group_IT_number 11
loop_
_space_group_symop_operation_xyz
'x,y,z'
'-x,-y,-z'
'-x,y+1/2,-z'
'x,-y+1/2,z'
loop_
_atom_site_label
_atom_site_type_symbol
_atom_site_fract_x
_atom_site_fract_y
_atom_site_fract_z
Cu1 Cu 0.0126 0.2500 0.0393
Cu2 Cu 0.0405 0.7500 0.1184
Cu3 Cu 0.0727 0.2500 0.1987
Cu4 Cu 0.1348 0.2500 0.8205
Cu5 Cu 0.1655 0.7500 0.8983
Cu6 Cu 0.1922 0.2500 0.9769
Cu7 Cu 0.2174 0.7500 0.0554
Cu8 Cu 0.2440 0.2500 0.1344
Cu9 Cu 0.2782 0.7500 0.2119
Cu10 Cu 0.3165 0.2500 0.7568
Cu11 Cu 0.3426 0.7500 0.8360
Cu12 Cu 0.3715 0.2500 0.9143
Cu13 Cu 0.3974 0.7500 0.9922
Cu14 Cu 0.4223 0.2500 0.0704
Cu15 Cu 0.4511 0.7500 0.1479
Cu16 Cu 0.4817 0.2500 0.2260
Te1 Te 0.0946 0.7500 0.7259
```

Among the records above, which one has the highest E?
Cu11Te4

The highest E belongs to which entry?
Cu11Te4